Ho8Ga2Sb | PBE | relaxed

Values from the calculation:
Crystal system   monoclinic
ρ   8.5 g/cm3
Raw total energy   -4.62 eV per atom

Cell: 19.0579 4.8785 6.7937 Å, 90.00 102.69 90.00°
Space group C2/m (No. 12)
Asymmetric unit:
Ho 0.0321 0.0000 0.2603 [4 per cell]
Ho 0.0938 0.5000 0.9644 [4 per cell]
Ho 0.1623 0.5000 0.4815 [4 per cell]
Ho 0.2146 0.0000 0.8235 [4 per cell]
Ga 0.1873 0.0000 0.2518 [4 per cell]
Sb 0.0000 0.5000 0.5000 [2 per cell]